(1)
DFT (GGA-PBE) results for TaNbZn after structural relaxation.

Cell: 4.3132 3.6685 6.7898 Å, 90.01 71.42 90.00°
With the nearest neighbours (Å) after each atom.
Fractional positions:
Ta: 0.4042 0.8444 0.1085  4 Ta 2.83, 4 Nb 2.86, 4 Zn 3.00
Ta: 0.9042 0.3444 0.1085  4 Zn 2.78, 4 Ta 2.83, 4 Nb 3.07-3.08
Nb: 0.2340 0.3444 0.4489  6 Zn 2.83, 4 Ta 2.86-3.08, 2 Nb 2.98
Nb: 0.5744 0.3444 0.7681  6 Zn 2.83, 4 Ta 2.86-3.08, 2 Nb 2.98
Zn: 0.0660 0.8445 0.7844  4 Ta 2.78-3.00, 6 Nb 2.83
Zn: 0.7424 0.8445 0.4325  4 Ta 2.78-3.00, 6 Nb 2.83

- space-group type = No. 10
- D(E_F) (states/eV per cell) = 3.4
- E_tot (eV per atom) = -7.7443
- V (Å³/f.u.) = 50.9

(2)
DFT (GGA-PBE) results for Nd2Tm5Zr after structural relaxation.

Cell: 4.9269 4.9269 10.5218 Å, 103.54 103.54 90.00°
With the nearest neighbours (Å) after each atom.
Fractional positions:
Nd: 0.7489 0.7489 0.4979  4 Nd 3.48, 8 Tm 3.60-3.63
Nd: 0.2511 0.2511 0.5021  4 Nd 3.48, 8 Tm 3.60-3.63
Tm: 0.5000 0.5000 0.0000  8 Tm 3.38, 4 Zr 3.48
Tm: 0.3835 0.8835 0.7671  6 Tm 3.38-3.48, 2 Zr 3.38, 4 Nd 3.60-3.63
Tm: 0.8835 0.3835 0.7671  2 Zr 3.38, 6 Tm 3.38-3.48, 4 Nd 3.60-3.63
Tm: 0.6165 0.1165 0.2329  6 Tm 3.38-3.48, 2 Zr 3.38, 4 Nd 3.60-3.63
Tm: 0.1165 0.6165 0.2329  2 Zr 3.38, 6 Tm 3.38-3.48, 4 Nd 3.60-3.63
Zr: 0.0000 0.0000 0.0000  12 Tm 3.38-3.48

- space-group type = No. 139
- D(E_F) (states/eV per cell) = 11.8
- E_tot (eV per atom) = -5.0059
- V (Å³/f.u.) = 241.0

(3)
DFT (GGA-PBE) results for Ga3TcMo after structural relaxation.

Cell: 4.7533 4.7533 4.7533 Å, 90.00 90.00 90.00°
With the nearest neighbours (Å) after each atom.
Fractional positions:
Mo: 0.5000 0.5000 0.5000  12 Ga 3.36
Tc: 0.0000 0.0000 0.0000  6 Ga 2.38
Ga: 0.0000 0.5000 0.0000  2 Tc 2.38
Ga: 0.0000 0.0000 0.5000  2 Tc 2.38
Ga: 0.5000 0.0000 0.0000  2 Tc 2.38

- space-group type = No. 221
- D(E_F) (states/eV per cell) = 2.2
- E_tot (eV per atom) = -5.2276
- V (Å³/f.u.) = 107.4

(4)
DFT (GGA-PBE) results for CuSiHg2 after structural relaxation.

Cell: 5.3928 5.3928 5.3928 Å, 135.56 135.56 64.66°
With the nearest neighbours (Å) after each atom.
Fractional positions:
Cu: 0.7500 0.2500 0.5000  8 Hg 2.88-3.06, 4 Si 3.06
Hg: 0.0000 0.0000 0.0000  4 Si 2.88, 4 Cu 3.06, 4 Hg 3.06
Hg: 0.2500 0.7500 0.5000  4 Cu 2.88, 4 Si 3.06, 4 Hg 3.06
Si: 0.5000 0.5000 0.0000  8 Hg 2.88-3.06, 4 Cu 3.06

- space-group type = No. 119
- D(E_F) (states/eV per cell) = 0.9
- E_form (uncorrected) (meV/atom) = 455.5
- V (Å³/f.u.) = 75.8

(5)
DFT (GGA-PBE) results for Tm2MnCo2 after structural relaxation.

Cell: 5.2968 5.3304 7.3799 Å, 101.91 90.00 119.79°
With the nearest neighbours (Å) after each atom.
Fractional positions:
Tm: 0.5100 0.2950 0.1473  6 Co 2.84-2.90, 2 Mn 3.08-3.17
Tm: 0.2150 0.7050 0.3527  6 Co 2.84-2.90, 2 Mn 3.08-3.17
Tm: 0.4900 0.7050 0.8527  6 Co 2.84-2.90, 2 Mn 3.08-3.17
Tm: 0.7850 0.2950 0.6473  6 Co 2.84-2.90, 2 Mn 3.08-3.17
Mn: 0.8785 0.0000 0.2500  4 Co 2.42-2.46
Mn: 0.1215 0.0000 0.7500  4 Co 2.42-2.46
Co: 0.7235 0.7257 0.4976  1 Co 2.40, 2 Mn 2.42-2.46
Co: 0.9978 0.2743 0.0024  1 Co 2.40, 2 Mn 2.42-2.46
Co: 0.2765 0.2743 0.5024  1 Co 2.40, 2 Mn 2.42-2.46
Co: 0.0022 0.7257 0.9976  1 Co 2.40, 2 Mn 2.42-2.46

- space-group type = No. 15
- D(E_F) (states/eV per cell) = 7.9
- E_tot (eV per atom) = -6.6670
- V (Å³/f.u.) = 87.8

(6)
DFT (GGA-PBE) results for BeBMoW after structural relaxation.

Cell: 3.1924 3.1756 4.6122 Å, 90.00 110.25 90.00°
With the nearest neighbours (Å) after each atom.
Fractional positions:
Be: 0.4356 0.0000 0.8712  2 B 1.95
B: 0.5662 0.5000 0.1325  2 Be 1.95
Mo: 0.8512 0.5000 0.7024  4 Be 2.37, 3 B 2.45-2.47
W: 0.1470 0.0000 0.2940  4 B 2.36, 3 Be 2.43-2.50

- space-group type = No. 38
- D(E_F) (states/eV per cell) = 2.1
- E_tot (eV per atom) = -8.9588
- V (Å³/f.u.) = 43.9

(7)
DFT (GGA-PBE) results for CaAc2AgO6 after structural relaxation.

Cell: 4.6242 5.8499 5.8499 Å, 90.00 90.00 90.00°
With the nearest neighbours (Å) after each atom.
Fractional positions:
Ca: 0.5901 0.5000 0.5000  6 O 2.19-2.43
Ac: 0.0405 0.5000 0.0000  4 O 2.58
Ac: 0.0405 0.0000 0.5000  4 O 2.58
Ag: 0.6626 0.0000 0.0000  4 O 2.00
O: 0.7063 0.2406 0.2406  1 Ag 2.00, 1 Ca 2.21
O: 0.7063 0.2406 0.7594  1 Ag 2.00, 1 Ca 2.21
O: 0.1165 0.5000 0.5000  2 Ca 2.19-2.43
O: 0.1714 0.0000 0.0000  2 Ag 2.27-2.35
O: 0.7063 0.7594 0.7594  1 Ag 2.00, 1 Ca 2.21
O: 0.7063 0.7594 0.2406  1 Ag 2.00, 1 Ca 2.21

- space-group type = No. 99
- D(E_F) (states/eV per cell) = 3.4
- E_form (uncorrected) (meV/atom) = -2112.9
- V (Å³/f.u.) = 158.2

(8)
DFT (GGA-PBE) results for SrAuS3 after structural relaxation.

Cell: 5.6048 5.6048 5.6048 Å, 90.00 90.00 90.00°
With the nearest neighbours (Å) after each atom.
Fractional positions:
Sr: 0.0000 0.0000 0.0000  6 S 2.80
S: 0.0000 0.5000 0.0000  2 Sr 2.80
S: 0.0000 0.0000 0.5000  2 Sr 2.80
S: 0.5000 0.0000 0.0000  2 Sr 2.80
Au: 0.5000 0.5000 0.5000  12 S 3.96

- space-group type = No. 221
- D(E_F) (states/eV per cell) = 2.1
- E_form (uncorrected) (meV/atom) = 632.8
- V (Å³/f.u.) = 176.1

(9)
DFT (GGA-PBE) results for Pr2Sm6Y after structural relaxation.

Cell: 3.5633 9.9375 10.5775 Å, 118.02 70.36 90.00°
With the nearest neighbours (Å) after each atom.
Fractional positions:
Pr: 0.3335 0.3333 0.6666  2 Pr 3.56, 12 Sm 3.77-3.78
Pr: 0.6665 0.6667 0.3334  2 Pr 3.56, 12 Sm 3.77-3.78
Sm: 0.8303 0.0005 0.6690  5 Sm 3.30-3.56
Sm: 0.1697 0.3315 0.3310  5 Sm 3.30-3.56
Sm: 0.1697 0.9995 0.3310  5 Sm 3.30-3.56
Sm: 0.5000 0.3310 0.0000  5 Sm 3.30-3.56
Sm: 0.8303 0.6685 0.6690  5 Sm 3.30-3.56
Sm: 0.5000 0.6690 0.0000  5 Sm 3.30-3.56
Y: 0.0000 0.0000 0.0000  2 Y 3.56, 12 Sm 3.74-3.75

- space-group type = No. 65
- D(E_F) (states/eV per cell) = 12.5
- E_tot (eV per atom) = -4.8736
- V (Å³/f.u.) = 305.8

(10)
DFT (GGA-PBE) results for PmCoSn3 after structural relaxation.

Cell: 6.0193 6.1608 12.6713 Å, 90.00 90.00 90.00°
With the nearest neighbours (Å) after each atom.
Fractional positions:
Pm: 0.7500 0.5186 0.7013  2 Co 3.20, 9 Sn 3.21-3.34
Pm: 0.2500 0.4814 0.2987  2 Co 3.20, 9 Sn 3.21-3.34
Pm: 0.7500 0.0186 0.2987  2 Co 3.20, 9 Sn 3.21-3.34
Pm: 0.2500 0.9814 0.7013  2 Co 3.20, 9 Sn 3.21-3.34
Co: 0.5000 0.2500 0.1068  6 Sn 2.62-2.68
Co: 0.0000 0.7500 0.8932  6 Sn 2.62-2.68
Co: 0.5000 0.7500 0.8932  6 Sn 2.62-2.68
Co: 0.0000 0.2500 0.1068  6 Sn 2.62-2.68
Sn: 0.0000 0.2500 0.5053  4 Sn 3.01-3.08, 4 Pm 3.34
Sn: 0.5000 0.7500 0.4947  4 Sn 3.01-3.08, 4 Pm 3.34
Sn: 0.0000 0.7500 0.4947  4 Sn 3.01-3.08, 4 Pm 3.34
Sn: 0.5000 0.2500 0.5053  4 Sn 3.01-3.08, 4 Pm 3.34
Sn: 0.2500 0.0845 0.9519  4 Co 2.66-2.68
Sn: 0.7500 0.9155 0.0481  4 Co 2.66-2.68
Sn: 0.2500 0.5845 0.0481  4 Co 2.66-2.68
Sn: 0.7500 0.4155 0.9519  4 Co 2.66-2.68
Sn: 0.2500 0.4781 0.7874  2 Co 2.62
Sn: 0.7500 0.5219 0.2126  2 Co 2.62
Sn: 0.2500 0.9781 0.2126  2 Co 2.62
Sn: 0.7500 0.0219 0.7874  2 Co 2.62

- space-group type = No. 57
- D(E_F) (states/eV per cell) = 16.2
- E_tot (eV per atom) = -5.1370
- V (Å³/f.u.) = 117.5

(11)
DFT (GGA-PBE) results for TbPr2YSe5 after structural relaxation.

Cell: 5.1709 5.1709 10.7591 Å, 90.00 90.00 90.00°
With the nearest neighbours (Å) after each atom.
Fractional positions:
Tb: 0.0000 0.0000 0.5000  6 Se 2.59-2.75
Pr: 0.5000 0.5000 0.3169  5 Se 3.25-3.41
Pr: 0.5000 0.5000 0.6831  5 Se 3.25-3.41
Y: 0.0000 0.0000 0.0000  2 Se 2.63
Se: 0.0000 0.5000 0.5000  2 Tb 2.59
Se: 0.5000 0.0000 0.5000  2 Tb 2.59
Se: 0.0000 0.0000 0.7554  1 Y 2.63, 1 Tb 2.75
Se: 0.0000 0.0000 0.2446  1 Y 2.63, 1 Tb 2.75
Se: 0.5000 0.5000 0.0000  2 Pr 3.41, 4 Y 3.66

- space-group type = No. 123
- D(E_F) (states/eV per cell) = 6.6
- E_form (uncorrected) (meV/atom) = -1278.4
- V (Å³/f.u.) = 287.7

(12)
DFT (GGA-PBE) results for ZrBi3As after structural relaxation.

Cell: 5.4441 5.4441 5.4441 Å, 90.00 90.00 90.00°
With the nearest neighbours (Å) after each atom.
Fractional positions:
As: 0.0000 0.0000 0.0000  6 Bi 2.72
Bi: 0.0000 0.5000 0.0000  2 As 2.72
Bi: 0.0000 0.0000 0.5000  2 As 2.72
Bi: 0.5000 0.0000 0.0000  2 As 2.72
Zr: 0.5000 0.5000 0.5000  12 Bi 3.85

- space-group type = No. 221
- D(E_F) (states/eV per cell) = 4.4
- E_tot (eV per atom) = -4.2335
- V (Å³/f.u.) = 161.4

(13)
DFT (GGA-PBE) results for Nd2ScBi4 after structural relaxation.

Cell: 4.5025 4.5025 11.3940 Å, 90.00 90.00 90.00°
With the nearest neighbours (Å) after each atom.
Fractional positions:
Nd: 0.5000 0.0000 0.7230  8 Bi 3.39-3.42
Nd: 0.0000 0.5000 0.2770  8 Bi 3.39-3.42
Sc: 0.5000 0.5000 0.0000  4 Bi 2.95
Bi: 0.5000 0.0000 0.1669  2 Sc 2.95
Bi: 0.0000 0.5000 0.8331  2 Sc 2.95
Bi: 0.5000 0.5000 0.5000  4 Bi 3.18, 4 Nd 3.39
Bi: 0.0000 0.0000 0.5000  4 Bi 3.18, 4 Nd 3.39

- space-group type = No. 115
- D(E_F) (states/eV per cell) = 3.2
- E_tot (eV per atom) = -5.0922
- V (Å³/f.u.) = 231.0

(14)
DFT (GGA-PBE) results for RbBa2NaBr after structural relaxation.

Cell: 6.5383 6.5383 6.8436 Å, 90.00 90.00 90.00°
With the nearest neighbours (Å) after each atom.
Fractional positions:
Na: 0.5000 0.5000 0.5000  4 Rb 4.62, 8 Ba 4.73
Br: 0.0000 0.0000 0.0000  4 Ba 3.27, 2 Rb 3.42
Ba: 0.0000 0.5000 0.0000  2 Br 3.27
Ba: 0.5000 0.0000 0.0000  2 Br 3.27
Rb: 0.0000 0.0000 0.5000  2 Br 3.42

- space-group type = No. 123
- D(E_F) (states/eV per cell) = 5.9
- E_form (uncorrected) (meV/atom) = -486.5
- V (Å³/f.u.) = 292.6

(15)
DFT (GGA-PBE) results for CeGdRhAu after structural relaxation.

Cell: 5.0594 5.0594 5.0594 Å, 60.00 60.00 60.00°
With the nearest neighbours (Å) after each atom.
Fractional positions:
Rh: 0.5000 0.5000 0.5000  4 Ce 3.10, 4 Gd 3.10
Gd: 0.2500 0.2500 0.2500  4 Rh 3.10, 4 Au 3.10
Au: 0.0000 0.0000 0.0000  4 Gd 3.10, 4 Ce 3.10
Ce: 0.7500 0.7500 0.7500  4 Au 3.10, 4 Rh 3.10

- space-group type = No. 216
- D(E_F) (states/eV per cell) = 7.3
- E_tot (eV per atom) = -8.3384
- V (Å³/f.u.) = 91.6